## Ag4OsAu (GGA-PBE)

Data for crystalline Ag4OsAu at its relaxed geometry.

Lattice parameters (Å, degrees): 7.5560 7.5560 7.5560 90.00 90.00 90.00
Closest atoms and distances in Å follow each position.
Space group F-43m (No. 216)
Unique sites:
Ag 0.1252 0.1252 0.1252  6 Ag 2.67-2.68
Os 0.0000 0.0000 0.5000  12 Ag 3.13, 4 Au 3.27
Au 0.2500 0.2500 0.7500  12 Ag 3.13, 4 Os 3.27

Computed properties:
For the electronic total energy, the calculation gives -3.523 eV per atom. Its crystal system is cubic. The energy relative to the elements is 796 meV/atom. Its volume is 431 Å³ per cell.